# Li4BeCr3O8 PBE+U relaxed
# Final energy ... -210.72 eV per cell
# Theoretical density ... 3.837 g/cm³
data_Li4BeCr3O8
_chemical_formula_sum 'Li8 Be2 Cr6 O16'
_cell_length_a 10.045
_cell_length_b 5.767
_cell_length_c 5.818
_cell_angle_alpha 90.00
_cell_angle_beta 124.55
_cell_angle_gamma 90.00
_symmetry_space_group_name_H-M 'C 1 2/m 1'
_symmetry_Int_Tables_number 12
_symmetry_space_group_name_Hall '-C 2y'
loop_
_atom_site_label
_atom_site_type_symbol
_atom_site_fract_x
_atom_site_fract_y
_atom_site_fract_z
Li1 Li 0.000 0.000 0.000
Li2 Li 0.000 0.500 0.000
Li3 Li 0.250 0.250 0.000
Be1 Be 0.000 0.000 0.500
Cr1 Cr 0.000 0.500 0.500
Cr2 Cr 0.250 0.250 0.500
O1 O 0.010 0.238 0.286
O2 O 0.243 0.500 0.730
O3 O 0.246 0.000 0.727